[1]
## TbDyHo5In2 (GGA-PBE)

Data for TbDyHo5In2 after structural relaxation.

Cell lengths 7.590, 7.590, 11.107 Å; angles 109.98, 109.98, 90.00 degrees
Positions (direct):
1 In 0.124 0.376 0.000
2 In 0.876 0.624 0.000
3 In 0.376 0.876 0.000
4 In 0.624 0.124 0.000
5 Ho 0.077 0.577 0.754
6 Ho 0.823 0.923 0.246
7 Ho 0.000 0.000 0.000
8 Ho 0.677 0.177 0.754
9 Ho 0.323 0.823 0.246
10 Ho 0.500 0.500 0.000
11 Ho 0.177 0.077 0.754
12 Ho 0.423 0.323 0.246
13 Ho 0.577 0.677 0.754
14 Ho 0.923 0.423 0.246
15 Dy 0.250 0.750 0.500
16 Dy 0.750 0.250 0.500
17 Tb 0.250 0.250 0.500
18 Tb 0.750 0.750 0.500

DOS(E_F) = 1.413 states/eV/atom
ΔH_f (0 K) = 0.005 eV/atom
Electronic total energy = -75.10 eV/cell
Volume = 31.121 Å³ per atom

---

[2]
## YZnPdAu2 (GGA-PBE)

Data for YZnPdAu2 after structural relaxation.

Cell lengths 4.736, 5.271, 4.736 Å; angles 90.00, 90.00, 90.00 degrees
Positions (direct):
1 Au 0.000 0.000 0.500
2 Au 0.500 0.000 0.000
3 Zn 0.000 0.000 0.000
4 Pd 0.500 0.500 0.500
5 Y 0.000 0.500 0.000

DOS(E_F) = 0.682 states/eV/atom
ΔH_f (0 K) = 0.245 eV/atom
Electronic total energy = -18.26 eV/cell
Volume = 23.644 Å³ per atom

---

[3]
## Ba2NaZnCd (GGA-PBE)

Data for Ba2NaZnCd after structural relaxation.

Cell lengths 6.424, 5.405, 6.424 Å; angles 90.00, 90.00, 90.00 degrees
Positions (direct):
1 Zn 0.000 0.000 0.000
2 Ba 0.000 0.000 0.500
3 Ba 0.500 0.000 0.000
4 Cd 0.500 0.500 0.500
5 Na 0.000 0.500 0.000

DOS(E_F) = 0.875 states/eV/atom
Relative energy among the computed polymorphs = 72 meV/atom
ΔH_f (0 K) = 0.035 eV/atom
Electronic total energy = -7.18 eV/cell
Volume = 44.610 Å³ per atom